Entry 1:
# RbHf3Tc | Alexandria | PBEsol | optimized geometry
data_RbHf3Tc
_symmetry_space_group_name_H-M 'P 1'
_symmetry_Int_Tables_number 1
_symmetry_space_group_name_Hall 'P 1'
_cell_length_a 5.100
_cell_length_b 5.100
_cell_length_c 5.100
_cell_angle_alpha 90.00
_cell_angle_beta 90.00
_cell_angle_gamma 90.00
loop_
_atom_site_label
_atom_site_type_symbol
_atom_site_fract_x
_atom_site_fract_y
_atom_site_fract_z
_atom_site_occupancy
Rb1 Rb 0.500 0.500 0.500 1
Hf1 Hf 0.500 0.000 0.000 1
Hf2 Hf 0.000 0.000 0.500 1
Tc1 Tc 0.000 0.000 0.000 1
Hf3 Hf 0.000 0.500 0.000 1
# Final energy   -40.01 eV per formula unit
# Crystal system   cubic
# Formation energy from the elements   73 kJ/mol of atoms
# ρ   9.00 g cm⁻³



Entry 2:
# CoTc2PdS | Alexandria | PBEsol | optimized geometry
data_CoTc2PdS
_symmetry_space_group_name_H-M 'P 1'
_symmetry_Int_Tables_number 1
_symmetry_space_group_name_Hall 'P 1'
_cell_length_a 4.002
_cell_length_b 4.275
_cell_length_c 4.275
_cell_angle_alpha 90.00
_cell_angle_beta 90.00
_cell_angle_gamma 90.00
loop_
_atom_site_label
_atom_site_type_symbol
_atom_site_fract_x
_atom_site_fract_y
_atom_site_fract_z
_atom_site_occupancy
Co1 Co 0.500 0.000 0.000 1
S1 S 0.000 0.000 0.000 1
Pd1 Pd 0.500 0.500 0.500 1
Tc1 Tc 0.000 0.500 0.000 1
Tc2 Tc 0.000 0.000 0.500 1
# Final energy   -38.32 eV per formula unit
# Crystal system   tetragonal
# ρ   8.93 g cm⁻³
# E_form (uncorrected)   0.458 eV per atom



Entry 3:
# FeCo5 | Alexandria | PBEsol | optimized geometry
data_FeCo5
_symmetry_space_group_name_H-M 'P 1'
_symmetry_Int_Tables_number 1
_symmetry_space_group_name_Hall 'P 1'
_cell_length_a 2.450
_cell_length_b 2.450
_cell_length_c 10.481
_cell_angle_alpha 90.00
_cell_angle_beta 90.00
_cell_angle_gamma 90.00
loop_
_atom_site_label
_atom_site_type_symbol
_atom_site_fract_x
_atom_site_fract_y
_atom_site_fract_z
_atom_site_occupancy
Co1 Co 0.000 0.000 0.673 1
Fe1 Fe 0.500 0.500 0.500 1
Co2 Co 0.000 0.000 0.327 1
Co3 Co 0.000 0.000 0.000 1
Co4 Co 0.500 0.500 0.166 1
Co5 Co 0.500 0.500 0.834 1
# Final energy   -47.44 eV per formula unit
# Crystal system   tetragonal
# Formation energy from the elements   3 kJ/mol of atoms
# ρ   9.25 g cm⁻³